Ti4FeSe8 | the Alexandria database | PBE | relaxed; space group = C2/m, No. 12
1.0
7.004 -0.007 -0.001
3.363 6.143 -0.001
5.152 3.050 6.174
Se Ti Fe
8 4 1
direct
0.456 0.456 0.330
0.956 0.956 0.336
0.544 0.544 0.670
0.044 0.044 0.664
0.049 0.541 0.169
0.951 0.459 0.831
0.541 0.049 0.169
0.459 0.951 0.831
0.750 0.750 0.009
0.250 0.250 0.991
0.737 0.263 0.500
0.263 0.737 0.500
0.000 0.000 0.000

Tm2CuHg | the Alexandria database | PBE | relaxed; offset from the most stable computed form = 0.73 eV per formula unit; space group = R-3m, No. 166; energy of formation from the pure elements = -4.479 kcal/mol of atoms
1.0
3.715 0.000 0.000
1.858 3.218 0.000
1.858 1.073 8.270
Tm Hg Cu
2 1 1
direct
0.741 0.741 0.778
0.259 0.259 0.222
0.500 0.500 0.500
0.000 0.000 0.000

no.,total moment (Bohr magnetons per cell),electronic total energy (eV/cell)
1,2.580,-81.09
2,0.000,-14.12